Entry 1:
An optimized crystal structure of LuAl2Pd5, computed with PBE.

Cell and atoms, written as CIF:
```
data_LuAl2Pd5
_chemical_formula_sum 'Lu2 Al4 Pd10'
_space_group_name_H-M_alt 'I 4/m m m'
_space_group_IT_number 139
_space_group_name_Hall '-I 4 2'
_cell_length_a 4.115
_cell_length_b 4.115
_cell_length_c 14.893
_cell_angle_alpha 90.00
_cell_angle_beta 90.00
_cell_angle_gamma 90.00
loop_
_atom_site_label
_atom_site_fract_x
_atom_site_fract_y
_atom_site_fract_z
Lu1 0.000 0.000 0.000
Al1 0.000 0.000 0.253
Pd1 0.000 0.000 0.500
Pd2 0.000 0.500 0.143
```

Summary:
Energy relative to the elements in eV/atom: -0.9632
Size of the total moment in μB/f.u.: 0.00



Entry 2:
An optimized crystal structure of Pm8Se4S3, computed with PBE.

Cell and atoms, written as CIF:
```
data_Pm8Se4S3
_chemical_formula_sum 'Pm16 Se8 S6'
_space_group_name_H-M_alt 'C 1 2/m 1'
_space_group_IT_number 12
_cell_length_a 11.613
_cell_length_b 11.626
_cell_length_c 8.165
_cell_angle_alpha 90.00
_cell_angle_beta 134.65
_cell_angle_gamma 90.00
loop_
_space_group_symop_operation_xyz
'x,y,z'
'-x,-y,-z'
'-x,y,-z'
'x,-y,z'
'x+1/2,y+1/2,z'
'-x+1/2,-y+1/2,-z'
'-x+1/2,y+1/2,-z'
'x+1/2,-y+1/2,z'
loop_
_atom_site_label
_atom_site_fract_x
_atom_site_fract_y
_atom_site_fract_z
Pm1 0.000 0.240 0.000
Pm2 0.000 0.249 0.500
Pm3 0.241 0.000 0.483
Pm4 0.241 0.000 0.997
Se1 0.000 0.500 0.000
Se2 0.000 0.500 0.500
Se3 0.250 0.250 0.500
S1 0.000 0.000 0.000
S2 0.250 0.250 0.000
```

Summary:
Raw formation energy in eV/atom: -1.776
Size of the total moment in μB/f.u.: 0.00



Entry 3:
An optimized crystal structure of PmHoCuPb, computed with PBE.

Cell and atoms, written as CIF:
```
data_PmHoCuPb
_chemical_formula_sum 'Pm4 Ho4 Cu4 Pb4'
_space_group_name_H-M_alt 'F -4 3 m'
_space_group_IT_number 216
_space_group_name_Hall 'F -4 2 3'
_cell_length_a 7.435
_cell_length_b 7.435
_cell_length_c 7.435
_cell_angle_alpha 90.00
_cell_angle_beta 90.00
_cell_angle_gamma 90.00
loop_
_atom_site_label
_atom_site_fract_x
_atom_site_fract_y
_atom_site_fract_z
Pm1 0.000 0.000 0.000
Ho1 0.000 0.000 0.500
Cu1 0.250 0.250 0.750
Pb1 0.250 0.250 0.250
```

Summary:
Energy relative to the elements in eV/atom: -0.2948
Size of the total moment in μB/f.u.: 0.17